# 1
! PBE Nd5Ga2O2, optimized geometry; values from VASP
! energy: -5.853 eV/atom
! space group: No. 74
! V: 452.4 Å³/cell
! formation energy (no corrections): -1.430 eV/atom
&SYSTEM
  ibrav = 0, nat = 18, ntyp = 3
/
ATOMIC_SPECIES
Nd 144.24 Nd.upf
O 16.00 O.upf
Ga 69.72 Ga.upf
CELL_PARAMETERS angstrom
6.5118 0.0000 -2.1339
-0.7118 6.5759 -2.1721
-0.1105 -0.1742 10.6654
ATOMIC_POSITIONS crystal
Nd 0.4636 0.3717 0.7246
O 0.7609 0.7594 0.5000
Nd 0.7722 0.2818 0.0443
Ga 0.0887 0.6388 0.2582
Ga 0.9113 0.3806 0.7418
Ga 0.3305 0.8806 0.7418
Nd 0.7721 0.7818 0.0443
Nd 0.5364 0.6471 0.2754
Nd 0.7611 0.8717 0.7246
O 0.5000 0.5097 0.0000
Ga 0.6695 0.1388 0.2582
O 0.0000 0.0097 0.0000
Nd 0.0000 0.5093 0.5000
Nd 0.2389 0.1471 0.2754
O 0.2391 0.2594 0.5000
Nd 0.2279 0.7375 0.9557
Nd 0.2278 0.2375 0.9557
Nd 0.0000 0.0093 0.5000

# 2
! PBE Mg2ZrHg, optimized geometry; values from VASP
! energy: -3.028 eV/atom
! space group: No. 8
! V: 88.3 Å³/cell
&SYSTEM
  ibrav = 0, nat = 4, ntyp = 3
/
ATOMIC_SPECIES
Mg 24.30 Mg.upf
Zr 91.22 Zr.upf
Hg 200.59 Hg.upf
CELL_PARAMETERS angstrom
5.3965 0.0119 0.0188
4.4929 2.9893 0.0188
1.0975 0.3331 5.4949
ATOMIC_POSITIONS crystal
Mg 0.7447 0.7447 0.7690
Zr 0.5062 0.5062 0.4825
Hg 0.2584 0.2584 0.2627
Mg 0.9908 0.9908 0.9858

# 3
! PBE Tl2NiP2S6, optimized geometry; values from VASP
! energy: -4.359 eV/atom
! space group: No. 166
! V: 246.9 Å³/cell
! formation energy (no corrections): -0.169 eV/atom
&SYSTEM
  ibrav = 0, nat = 11, ntyp = 4
/
ATOMIC_SPECIES
S 32.06 S.upf
P 30.97 P.upf
Tl 204.38 Tl.upf
Ni 58.69 Ni.upf
CELL_PARAMETERS angstrom
6.6579 0.0000 0.0000
3.3289 5.7659 0.0000
3.3289 1.9220 6.4313
ATOMIC_POSITIONS crystal
S 0.2355 0.7587 0.2472
P 0.5695 0.5695 0.2916
Tl 0.7665 0.7665 0.7005
Ni 0.0000 0.0000 0.0000
S 0.7587 0.7587 0.2472
S 0.2413 0.2413 0.7528
S 0.2413 0.7645 0.7528
S 0.7587 0.2355 0.2472
P 0.4305 0.4305 0.7084
S 0.7645 0.2413 0.7528
Tl 0.2335 0.2335 0.2995

# 4
! PBE Rb2SnAsH, optimized geometry; values from VASP
! energy: -3.107 eV/atom
! space group: No. 11
! V: 324.3 Å³/cell
&SYSTEM
  ibrav = 0, nat = 10, ntyp = 4
/
ATOMIC_SPECIES
Rb 85.47 Rb.upf
H 1.01 H.upf
Sn 118.71 Sn.upf
As 74.92 As.upf
CELL_PARAMETERS angstrom
-1.8370 3.7023 0.8948
-2.4218 0.3958 -6.6097
-7.4364 -5.4859 7.4321
ATOMIC_POSITIONS crystal
Rb 0.7500 0.8039 0.0993
Rb 0.2500 0.1961 0.9007
Rb 0.2500 0.2224 0.4412
H 0.7500 0.2237 0.2900
Sn 0.7500 0.3790 0.1935
Sn 0.2500 0.6210 0.8065
As 0.2500 0.6362 0.2994
H 0.2500 0.7763 0.7100
As 0.7500 0.3638 0.7006
Rb 0.7500 0.7776 0.5588

# 5
! PBE CaO2F8, optimized geometry; values from VASP
! energy: -3.394 eV/atom
! space group: No. 12
! V: 180.5 Å³/cell
! formation energy (no corrections): -0.949 eV/atom
&SYSTEM
  ibrav = 0, nat = 11, ntyp = 3
/
ATOMIC_SPECIES
F 19.00 F.upf
O 16.00 O.upf
Ca 40.08 Ca.upf
CELL_PARAMETERS angstrom
3.3792 -0.6251 -0.4967
-0.7790 7.5646 1.9779
-1.0861 1.3923 7.6566
ATOMIC_POSITIONS crystal
F 0.2589 0.2320 0.2320
F 0.6153 0.2391 0.9201
F 0.7411 0.7680 0.7680
F 0.3847 0.0799 0.7609
F 0.6153 0.9201 0.2391
O 0.6691 0.3143 0.3143
F 0.5992 0.4126 0.4126
F 0.3847 0.7609 0.0799
F 0.4008 0.5874 0.5874
Ca 0.0000 0.0000 0.0000
O 0.3309 0.6857 0.6857

# 6
! PBE PmPa2S5, optimized geometry; values from VASP
! energy: -7.278 eV/atom
! space group: No. 62
! ΔE to the lowest computed polymorph: 0.0 meV per atom
! V: 700.0 Å³/cell
! formation energy (no corrections): -1.731 eV/atom
&SYSTEM
  ibrav = 0, nat = 32, ntyp = 3
/
ATOMIC_SPECIES
Pa 231.04 Pa.upf
S 32.06 S.upf
Pm 145.00 Pm.upf
CELL_PARAMETERS angstrom
7.3902 0.0000 0.0000
0.0000 7.8460 0.0000
0.0000 0.0000 12.0726
ATOMIC_POSITIONS crystal
Pa 0.0114 0.0000 0.3194
S 0.1803 0.7500 0.8145
Pa 0.4886 0.0000 0.8194
S 0.3377 0.5433 0.6101
S 0.7084 0.7500 0.7162
Pa 0.9886 0.0000 0.6806
S 0.2084 0.2500 0.7837
S 0.8377 0.0433 0.8899
S 0.8197 0.2500 0.1855
S 0.6623 0.4567 0.3899
S 0.7916 0.7500 0.2163
Pm 0.0818 0.2500 0.0037
Pa 0.4886 0.5000 0.8194
S 0.8377 0.4567 0.8899
S 0.4715 0.2500 0.0005
Pa 0.0114 0.5000 0.3194
S 0.5285 0.7500 0.9995
S 0.6803 0.2500 0.6855
S 0.9715 0.7500 0.4995
Pa 0.5114 0.0000 0.1806
S 0.0285 0.2500 0.5005
Pm 0.4182 0.2500 0.5037
S 0.3377 0.9567 0.6101
S 0.3197 0.7500 0.3145
S 0.1623 0.5433 0.1101
S 0.6623 0.0433 0.3899
S 0.1623 0.9567 0.1101
Pa 0.5114 0.5000 0.1806
S 0.2916 0.2500 0.2838
Pa 0.9886 0.5000 0.6806
Pm 0.5818 0.7500 0.4963
Pm 0.9182 0.7500 0.9963

# 7
! PBE V3FeTc, optimized geometry; values from VASP
! energy: -8.408 eV/atom
! space group: No. 221
! ΔE to the lowest computed polymorph: 0.0 meV per atom
! V: 75.6 Å³/cell
&SYSTEM
  ibrav = 0, nat = 5, ntyp = 3
/
ATOMIC_SPECIES
Fe 55.84 Fe.upf
V 50.94 V.upf
Tc 98.00 Tc.upf
CELL_PARAMETERS angstrom
-3.6640 -0.4232 -2.0684
-1.0653 -3.2063 2.5431
-1.8228 2.7245 2.6714
ATOMIC_POSITIONS crystal
Fe 0.0000 0.0000 0.0000
V 0.0000 0.0000 0.5000
V 0.0000 0.5000 0.0000
V 0.5000 0.0000 0.0000
Tc 0.5000 0.5000 0.5000

# 8
! PBE CdNi3N, optimized geometry; values from VASP
! energy: -5.267 eV/atom
! space group: No. 8
! ΔE to the lowest computed polymorph: 114.7 meV per atom
! V: 118.0 Å³/cell
! formation energy (no corrections): 0.050 eV/atom
&SYSTEM
  ibrav = 0, nat = 10, ntyp = 3
/
ATOMIC_SPECIES
Cd 112.41 Cd.upf
Ni 58.69 Ni.upf
N 14.01 N.upf
CELL_PARAMETERS angstrom
5.5731 -0.0016 0.0055
2.6076 4.7152 0.0019
1.5291 -0.8466 4.4923
ATOMIC_POSITIONS crystal
Cd 0.5920 0.3485 0.5059
Ni 0.0864 0.8343 0.4622
Ni 0.5663 0.6202 0.9929
N 0.3052 0.4916 0.1639
Ni 0.5662 0.1018 0.9927
Ni 0.5903 0.8494 0.4734
Cd 0.0864 0.1008 0.9435
N 0.8057 0.7412 0.7280
Ni 0.0868 0.3675 0.4620
Ni 0.0395 0.6243 0.9742

# 9
! PBE OsCl3F2, optimized geometry; values from VASP
! energy: -4.238 eV/atom
! space group: No. 15
! V: 355.8 Å³/cell
! formation energy (no corrections): -0.819 eV/atom
&SYSTEM
  ibrav = 0, nat = 12, ntyp = 3
/
ATOMIC_SPECIES
Os 190.23 Os.upf
Cl 35.45 Cl.upf
F 19.00 F.upf
CELL_PARAMETERS angstrom
-4.2810 -1.0446 -4.6753
-1.3569 -6.6457 -1.6865
-6.1182 -3.6252 6.4125
ATOMIC_POSITIONS crystal
Os 0.2072 0.0000 0.2500
Cl 0.1337 0.0000 0.7500
Cl 0.8663 0.0000 0.2500
F 0.8628 0.8113 0.9575
Cl 0.4500 0.6915 0.1920
F 0.1372 0.1887 0.0425
Cl 0.1415 0.3085 0.3080
F 0.6742 0.1886 0.5425
Cl 0.8585 0.6915 0.6920
Os 0.7928 0.0000 0.7500
F 0.3258 0.8114 0.4575
Cl 0.5500 0.3085 0.8080

# 10
! PBE NdTmAlTl, optimized geometry; values from VASP
! energy: -4.159 eV/atom
! space group: No. 216
! ΔE to the lowest computed polymorph: 32.1 meV per atom
! V: 105.2 Å³/cell
&SYSTEM
  ibrav = 0, nat = 4, ntyp = 4
/
ATOMIC_SPECIES
Tm 168.93 Tm.upf
Tl 204.38 Tl.upf
Nd 144.24 Nd.upf
Al 26.98 Al.upf
CELL_PARAMETERS angstrom
5.2996 0.0000 0.0000
2.6498 4.5896 0.0000
2.6498 1.5299 4.3271
ATOMIC_POSITIONS crystal
Tm 0.2500 0.2500 0.2500
Tl 0.0000 0.0000 0.0000
Nd 0.7500 0.7500 0.7500
Al 0.5000 0.5000 0.5000

# 11
! PBE RbTl2SF, optimized geometry; values from VASP
! energy: -3.543 eV/atom
! space group: No. 11
! V: 302.2 Å³/cell
! formation energy (no corrections): -1.203 eV/atom
&SYSTEM
  ibrav = 0, nat = 10, ntyp = 4
/
ATOMIC_SPECIES
F 19.00 F.upf
Tl 204.38 Tl.upf
S 32.06 S.upf
Rb 85.47 Rb.upf
CELL_PARAMETERS angstrom
4.1212 0.0000 0.0000
0.0000 7.2678 0.3607
0.0000 -0.4841 10.0648
ATOMIC_POSITIONS crystal
F 0.7500 0.5815 0.8443
Tl 0.2500 0.6405 0.3548
S 0.7500 0.8980 0.2446
Tl 0.2500 0.1406 0.3512
S 0.2500 0.1020 0.7554
Tl 0.7500 0.8594 0.6488
Rb 0.7500 0.2657 0.0140
Rb 0.2500 0.7343 0.9860
Tl 0.7500 0.3595 0.6452
F 0.2500 0.4185 0.1557

# 12
! PBE CaTe4Pt, optimized geometry; values from VASP
! energy: -3.181 eV/atom
! space group: No. 216
! V: 173.3 Å³/cell
! formation energy (no corrections): 0.254 eV/atom
&SYSTEM
  ibrav = 0, nat = 6, ntyp = 3
/
ATOMIC_SPECIES
Te 127.60 Te.upf
Ca 40.08 Ca.upf
Pt 195.08 Pt.upf
CELL_PARAMETERS angstrom
-5.0175 1.4775 3.4359
-5.5638 0.7735 -2.7584
-4.5415 -4.2148 0.8796
ATOMIC_POSITIONS crystal
Te 0.3735 0.8795 0.3735
Te 0.3735 0.3735 0.3735
Te 0.3735 0.3735 0.8795
Te 0.8795 0.3735 0.3735
Ca 0.7500 0.7500 0.7500
Pt 0.0000 0.0000 0.0000

# 13
! PBE CeYEr2, optimized geometry; values from VASP
! energy: -5.325 eV/atom
! space group: No. 166
! ΔE to the lowest computed polymorph: 29.3 meV per atom
! V: 122.7 Å³/cell
&SYSTEM
  ibrav = 0, nat = 4, ntyp = 3
/
ATOMIC_SPECIES
Er 167.26 Er.upf
Ce 140.12 Ce.upf
Y 88.91 Y.upf
CELL_PARAMETERS angstrom
-1.7546 -2.8536 -1.0577
1.1994 -1.8984 -2.7013
5.9380 -8.0375 6.0011
ATOMIC_POSITIONS crystal
Er 0.7489 0.7489 0.7532
Ce 0.0000 0.0000 0.0000
Y 0.5000 0.5000 0.5000
Er 0.2511 0.2511 0.2468

# 14
! PBE Tb12Ho3Er, optimized geometry; values from VASP
! energy: -4.599 eV/atom
! space group: No. 123
! V: 503.1 Å³/cell
&SYSTEM
  ibrav = 0, nat = 16, ntyp = 3
/
ATOMIC_SPECIES
Ho 164.93 Ho.upf
Tb 158.93 Tb.upf
Er 167.26 Er.upf
CELL_PARAMETERS angstrom
-1.4198 -2.3735 4.1794
4.0587 -2.9263 -0.2831
10.2898 13.2080 10.9965
ATOMIC_POSITIONS crystal
Ho 0.0000 0.0000 0.2500
Tb 0.5000 0.5000 0.0000
Tb 0.5000 0.0000 0.8751
Tb 0.5000 0.0000 0.6250
Ho 0.0000 0.0000 0.7500
Tb 0.5000 0.0000 0.1249
Tb 0.5000 0.0000 0.3750
Tb 0.5000 0.5000 0.7501
Tb 0.5000 0.5000 0.2499
Tb 0.0000 0.5000 0.8751
Er 0.0000 0.0000 0.0000
Tb 0.5000 0.5000 0.5000
Tb 0.0000 0.5000 0.6250
Tb 0.0000 0.5000 0.1249
Ho 0.0000 0.0000 0.5000
Tb 0.0000 0.5000 0.3750

# 15
! PBE Ce2Hg2H, optimized geometry; values from VASP
! energy: -3.456 eV/atom
! space group: No. 36
! V: 225.8 Å³/cell
&SYSTEM
  ibrav = 0, nat = 10, ntyp = 3
/
ATOMIC_SPECIES
Hg 200.59 Hg.upf
Ce 140.12 Ce.upf
H 1.01 H.upf
CELL_PARAMETERS angstrom
4.4258 0.0000 0.0000
0.0000 8.7681 0.0000
-2.2129 0.0000 5.8192
ATOMIC_POSITIONS crystal
Hg 0.8669 0.6860 0.7339
Hg 0.1331 0.1860 0.2661
Hg 0.2508 0.8688 0.5016
Hg 0.7492 0.3688 0.4984
Ce 0.4541 0.3951 0.9082
Ce 0.8725 0.0655 0.7450
H 0.4353 0.1190 0.8706
Ce 0.5459 0.8951 0.0918
Ce 0.1275 0.5655 0.2550
H 0.5647 0.6190 0.1294

# 16
! PBE TbScTe3, optimized geometry; values from VASP
! energy: -5.366 eV/atom
! space group: No. 11
! ΔE to the lowest computed polymorph: 0.0 meV per atom
! V: 336.2 Å³/cell
! formation energy (no corrections): -1.289 eV/atom
&SYSTEM
  ibrav = 0, nat = 10, ntyp = 3
/
ATOMIC_SPECIES
Te 127.60 Te.upf
Sc 44.96 Sc.upf
Tb 158.93 Tb.upf
CELL_PARAMETERS angstrom
4.2630 0.0000 0.0000
0.0000 7.0867 -1.8104
0.0000 0.4420 11.0151
ATOMIC_POSITIONS crystal
Te 0.2500 0.0393 0.8514
Te 0.7500 0.7380 0.4998
Te 0.2500 0.4706 0.1609
Sc 0.7500 0.2710 0.0099
Sc 0.2500 0.7290 0.9901
Te 0.7500 0.5294 0.8391
Te 0.7500 0.9607 0.1486
Te 0.2500 0.2620 0.5002
Tb 0.7500 0.1308 0.6516
Tb 0.2500 0.8692 0.3484

# 17
! PBE RbGaGePt, optimized geometry; values from VASP
! energy: -4.020 eV/atom
! space group: No. 160
! V: 106.8 Å³/cell
&SYSTEM
  ibrav = 0, nat = 4, ntyp = 4
/
ATOMIC_SPECIES
Rb 85.47 Rb.upf
Ga 69.72 Ga.upf
Pt 195.08 Pt.upf
Ge 72.64 Ge.upf
CELL_PARAMETERS angstrom
4.3256 -0.0283 -0.6889
2.1335 3.7630 -0.6889
-1.1401 -0.6592 6.7779
ATOMIC_POSITIONS crystal
Rb 0.4824 0.4824 0.2860
Ga 0.6767 0.6767 0.8696
Pt 0.9872 0.9872 0.8012
Ge 0.2842 0.2842 0.6923

# 18
! PBE MnCu2PtN, optimized geometry; values from VASP
! energy: -4.646 eV/atom
! space group: No. 123
! V: 109.1 Å³/cell
! formation energy (no corrections): 1.699 eV/atom
&SYSTEM
  ibrav = 0, nat = 5, ntyp = 4
/
ATOMIC_SPECIES
Pt 195.08 Pt.upf
Cu 63.55 Cu.upf
N 14.01 N.upf
Mn 54.94 Mn.upf
CELL_PARAMETERS angstrom
4.7479 0.0000 0.0000
0.0000 4.8399 0.0000
0.0000 0.0000 4.7479
ATOMIC_POSITIONS crystal
Pt 0.0000 0.0000 0.0000
Cu 0.5000 0.0000 0.0000
Cu 0.0000 0.0000 0.5000
N 0.5000 0.5000 0.5000
Mn 0.0000 0.5000 0.0000

# 19
! PBE PtSI3, optimized geometry; values from VASP
! energy: -2.386 eV/atom
! space group: No. 221
! ΔE to the lowest computed polymorph: 0.0 meV per atom
! V: 165.5 Å³/cell
! formation energy (no corrections): 0.578 eV/atom
&SYSTEM
  ibrav = 0, nat = 5, ntyp = 3
/
ATOMIC_SPECIES
I 126.90 I.upf
S 32.06 S.upf
Pt 195.08 Pt.upf
CELL_PARAMETERS angstrom
-4.4870 -2.9633 1.1069
3.0602 -4.5527 0.2171
0.8007 0.7944 5.3728
ATOMIC_POSITIONS crystal
I 0.0000 0.5000 0.0000
I 0.5000 0.0000 0.0000
I 0.0000 0.0000 0.5000
S 0.5000 0.5000 0.5000
Pt 0.0000 0.0000 0.0000

# 20
! PBE CaHgPb2, optimized geometry; values from VASP
! energy: -2.523 eV/atom
! space group: No. 166
! V: 124.4 Å³/cell
&SYSTEM
  ibrav = 0, nat = 4, ntyp = 3
/
ATOMIC_SPECIES
Pb 207.20 Pb.upf
Ca 40.08 Ca.upf
Hg 200.59 Hg.upf
CELL_PARAMETERS angstrom
10.1435 -0.0791 -0.0467
9.4578 3.6671 -0.0467
9.4578 1.7312 3.2330
ATOMIC_POSITIONS crystal
Pb 0.4942 0.4942 0.4942
Pb 0.0058 0.0058 0.0058
Ca 0.2500 0.2500 0.2500
Hg 0.7500 0.7500 0.7500